Ge2TeOs | PBE | relaxed

Lattice parameters (Å, degrees): 6.009 6.009 11.773 90.00 90.00 90.00
Space group I-42d (No. 122)
One atom of each set of equivalent atoms:
Ge (0.185, 0.250, 0.125) [8 per cell]
Te (0.000, 0.000, 0.500) [4 per cell]
Os (0.000, 0.000, 0.000) [4 per cell]

Results
The uncorrected formation energy is 455 meV/atom.

Th8Ge3Te4Os | PBE | relaxed

Lattice parameters (Å, degrees): 8.7142 8.7142 22.0428 90.00 90.00 120.00
Space group R-3m (No. 166, hexagonal axes)
One atom of each set of equivalent atoms:
Th (0.0000, 0.0000, 0.2398) [6 per cell]
Th (0.0160, 0.5080, 0.2369) [18 per cell]
Ge (0.0000, 0.5000, 0.5000) [9 per cell]
Te (0.0000, 0.0000, 0.0000) [3 per cell]
Te (0.0000, 0.5000, 0.0000) [9 per cell]
Os (0.0000, 0.0000, 0.5000) [3 per cell]

Results
The uncorrected formation energy is -962 meV/atom.

Th4GeTe2Os | PBE | relaxed

Lattice parameters (Å, degrees): 7.629 4.227 7.853 90.00 107.85 90.00
Space group P2/m (No. 10)
One atom of each set of equivalent atoms:
Th (0.217, 0.000, 0.201) [2 per cell]
Th (0.250, 0.500, 0.786) [2 per cell]
Ge (0.500, 0.000, 0.000) [1 per cell]
Te (0.000, 0.000, 0.500) [1 per cell]
Te (0.500, 0.500, 0.500) [1 per cell]
Os (0.000, 0.500, 0.000) [1 per cell]

Results
The uncorrected formation energy is -898 meV/atom.

Th6GeTe3Os2 | PBE | relaxed

Lattice parameters (Å, degrees): 7.400 12.790 7.977 90.00 107.93 90.00
Space group C2/m (No. 12)
One atom of each set of equivalent atoms:
Th (0.217, 0.000, 0.204) [4 per cell]
Th (0.244, 0.325, 0.206) [8 per cell]
Ge (0.000, 0.500, 0.000) [2 per cell]
Te (0.000, 0.000, 0.500) [2 per cell]
Te (0.000, 0.340, 0.500) [4 per cell]
Os (0.000, 0.168, 0.000) [4 per cell]

Results
The uncorrected formation energy is -884 meV/atom.

TiGeTeOs2 | PBE | relaxed

Lattice parameters (Å, degrees): 4.677 4.677 4.738 90.00 90.00 90.00
Space group P4/mmm (No. 123)
One atom of each set of equivalent atoms:
Ti (0.000, 0.000, 0.000) [1 per cell]
Ge (0.000, 0.000, 0.500) [1 per cell]
Te (0.500, 0.500, 0.500) [1 per cell]
Os (0.000, 0.500, 0.000) [2 per cell]

Results
The uncorrected formation energy is 1320 meV/atom.

TiGe2TeOs | PBE | relaxed

Lattice parameters (Å, degrees): 4.709 4.709 5.132 90.00 90.00 90.00
Space group P4/mmm (No. 123)
One atom of each set of equivalent atoms:
Ti (0.000, 0.000, 0.000) [1 per cell]
Ge (0.000, 0.500, 0.500) [2 per cell]
Te (0.500, 0.500, 0.000) [1 per cell]
Os (0.000, 0.000, 0.500) [1 per cell]

Results
The uncorrected formation energy is 173 meV/atom.

Th3Ge3Os2 | PBE | relaxed

Lattice parameters (Å, degrees): 8.037 15.150 5.795 90.00 90.00 90.00
Space group Pnma (No. 62)
One atom of each set of equivalent atoms:
Th (0.038, 0.110, 0.116) [8 per cell]
Th (0.180, 0.250, 0.630) [4 per cell]
Ge (0.172, 0.750, 0.618) [4 per cell]
Ge (0.183, 0.037, 0.614) [8 per cell]
Os (0.101, 0.609, 0.377) [8 per cell]

Results
As for the energy of formation: -557 meV per atom.

Th4Ge2Os | PBE | relaxed

Lattice parameters (Å, degrees): 9.152 9.173 9.531 90.00 90.00 90.00
Space group Imma (No. 74)
One atom of each set of equivalent atoms:
Th (0.000, 0.047, 0.190) [8 per cell]
Th (0.203, 0.250, 0.560) [8 per cell]
Ge (0.000, 0.000, 0.500) [4 per cell]
Ge (0.250, 0.250, 0.250) [4 per cell]
Os (0.000, 0.250, 0.874) [4 per cell]

Results
As for the energy of formation: -399 meV per atom.

Th2Ge3Os2 | PBE | relaxed

Lattice parameters (Å, degrees): 4.303 18.594 7.093 90.00 90.00 90.00
Space group Cmcm (No. 63)
One atom of each set of equivalent atoms:
Th (0.000, 0.054, 0.250) [4 per cell]
Th (0.000, 0.158, 0.750) [4 per cell]
Ge (0.000, 0.221, 0.250) [4 per cell]
Ge (0.000, 0.435, 0.060) [8 per cell]
Os (0.000, 0.305, 0.554) [8 per cell]

Results
As for the energy of formation: -427 meV per atom.

Th3Ge2Os3 | PBE | relaxed

Lattice parameters (Å, degrees): 4.329 10.551 14.975 90.00 90.00 90.00
Space group Cmcm (No. 63)
One atom of each set of equivalent atoms:
Th (0.000, 0.083, 0.109) [8 per cell]
Th (0.000, 0.367, 0.250) [4 per cell]
Ge (0.000, 0.207, 0.603) [8 per cell]
Os (0.000, 0.343, 0.750) [4 per cell]
Os (0.000, 0.357, 0.032) [8 per cell]

Results
As for the energy of formation: -390 meV per atom.

Th2Ge6Os | PBE | relaxed

Lattice parameters (Å, degrees): 6.1653 6.1653 5.4364 90.00 90.00 120.00
Space group P-3m1 (No. 164)
One atom of each set of equivalent atoms:
Th (0.3333, 0.6667, 0.2072) [2 per cell]
Ge (0.1815, 0.3631, 0.6988) [6 per cell]
Os (0.0000, 0.0000, 0.0000) [1 per cell]

Results
As for the energy of formation: -414 meV per atom.

ThGe4Os | PBE | relaxed

Lattice parameters (Å, degrees): 10.071 8.158 6.215 90.00 98.96 90.00
Space group C2/c (No. 15)
One atom of each set of equivalent atoms:
Th (0.000, 0.188, 0.250) [4 per cell]
Ge (0.129, 0.483, 0.998) [8 per cell]
Ge (0.138, 0.187, 0.820) [8 per cell]
Os (0.250, 0.250, 0.500) [4 per cell]

Results
As for the energy of formation: -111 meV per atom.

ThGe12Os4 | PBE | relaxed

Lattice parameters (Å, degrees): 8.730 8.730 8.730 90.00 90.00 90.00
Space group Im-3 (No. 204)
One atom of each set of equivalent atoms:
Th (0.000, 0.000, 0.000) [2 per cell]
Ge (0.000, 0.342, 0.154) [24 per cell]
Os (0.250, 0.250, 0.250) [8 per cell]

Results
As for the energy of formation: 85 meV per atom.

Th2GeOs | PBE | relaxed

Lattice parameters (Å, degrees): 5.992 4.174 8.481 90.00 109.91 90.00
Space group P2_1/m (No. 11)
One atom of each set of equivalent atoms:
Th (0.183, 0.250, 0.406) [2 per cell]
Th (0.272, 0.750, 0.052) [2 per cell]
Ge (0.368, 0.750, 0.705) [2 per cell]
Os (0.121, 0.250, 0.794) [2 per cell]

Results
As for the energy of formation: -563 meV per atom.

Th2Ge4Os5 | PBE | relaxed

Lattice parameters (Å, degrees): 5.679 9.748 14.981 90.00 90.00 90.00
Space group Fmmm (No. 69)
One atom of each set of equivalent atoms:
Th (0.000, 0.000, 0.121) [8 per cell]
Ge (0.000, 0.160, 0.371) [16 per cell]
Os (0.000, 0.000, 0.500) [4 per cell]
Os (0.250, 0.250, 0.000) [8 per cell]
Os (0.250, 0.250, 0.250) [8 per cell]

Results
As for the energy of formation: -218 meV per atom.

ThGe4Os2 | PBE | relaxed

Lattice parameters (Å, degrees): 17.480 4.298 6.734 90.00 90.00 90.00
Space group Pnma (No. 62)
One atom of each set of equivalent atoms:
Th (0.142, 0.250, 0.015) [4 per cell]
Ge (0.030, 0.750, 0.141) [4 per cell]
Ge (0.067, 0.250, 0.519) [4 per cell]
Ge (0.184, 0.750, 0.710) [4 per cell]
Ge (0.193, 0.750, 0.294) [4 per cell]
Os (0.035, 0.750, 0.753) [4 per cell]
Os (0.212, 0.250, 0.497) [4 per cell]

Results
As for the energy of formation: -321 meV per atom.

Th2GeOs | PBE | relaxed

Lattice parameters (Å, degrees): 4.2637 4.2637 20.3016 90.00 90.00 120.00
Space group R-3m (No. 166, hexagonal axes)
One atom of each set of equivalent atoms:
Th (0.0000, 0.0000, 0.2421) [6 per cell]
Ge (0.0000, 0.0000, 0.0000) [3 per cell]
Os (0.0000, 0.0000, 0.5000) [3 per cell]

Results
As for the energy of formation: -398 meV per atom.

Th2GeOs2 | PBE | relaxed

Lattice parameters (Å, degrees): 10.098 5.627 8.058 90.00 106.46 90.00
Space group C2/c (No. 15)
One atom of each set of equivalent atoms:
Th (0.147, 0.152, 0.148) [8 per cell]
Ge (0.000, 0.382, 0.750) [4 per cell]
Os (0.132, 0.347, 0.525) [8 per cell]

Results
As for the energy of formation: -432 meV per atom.

Th5Ge5Os2 | PBE | relaxed

Lattice parameters (Å, degrees): 15.637 4.208 11.608 90.00 131.19 90.00
Space group C2/m (No. 12)
One atom of each set of equivalent atoms:
Th (0.000, 0.000, 0.000) [2 per cell]
Th (0.122, 0.500, 0.816) [4 per cell]
Th (0.199, 0.500, 0.583) [4 per cell]
Ge (0.000, 0.000, 0.500) [2 per cell]
Ge (0.055, 0.000, 0.312) [4 per cell]
Ge (0.207, 0.500, 0.139) [4 per cell]
Os (0.117, 0.500, 0.260) [4 per cell]

Results
As for the energy of formation: -594 meV per atom.

ThGe2Os | PBE | relaxed

Lattice parameters (Å, degrees): 4.9384 4.9384 11.0359 90.00 90.00 120.00
Space group R-3m (No. 166, hexagonal axes)
One atom of each set of equivalent atoms:
Th (0.0000, 0.0000, 0.0000) [3 per cell]
Ge (0.0000, 0.0000, 0.2615) [6 per cell]
Os (0.0000, 0.0000, 0.5000) [3 per cell]

Results
As for the energy of formation: -113 meV per atom.